{"formula": "KPt", "functional": "PBE", "state": "relaxed", "lattice": [[4.979, 0.000, 0.000], [0.000, 6.123, 0.000], [0.000, 0.000, 11.571]], "species": ["Pt", "Pt", "K", "Pt", "K", "K", "K", "K", "K", "Pt", "Pt", "Pt"], "fractional_positions": [[0.000, 0.050, 0.280], [0.500, 0.950, 0.780], [0.000, 0.568, 0.343], [0.500, 0.950, 0.220], [0.000, 0.103, 0.000], [0.500, 0.432, 0.843], [0.500, 0.432, 0.157], [0.500, 0.897, 0.500], [0.000, 0.568, 0.657], [0.500, 0.863, 0.000], [0.000, 0.050, 0.720], [0.000, 0.137, 0.500]], "magnetic_moment_mub_per_cell": 0.00, "delta_e_f_ev_per_atom": 0.074, "spacegroup": "Pmmn"}